{"formula": "MnNiP", "functional": "GGA-PBE", "state": "relaxed", "cell": [[3.7640, 0.0000, 0.0000], [0.0000, 4.2660, 0.0000], [0.0000, 0.0000, 8.7793]], "species": ["Mn", "Mn", "Mn", "Mn", "Ni", "Ni", "Ni", "Ni", "P", "P", "P", "P"], "fractional_positions": [[0.0000, 0.0000, 0.0000], [0.0000, 0.5000, 0.5000], [0.5000, 0.0000, 0.5000], [0.5000, 0.5000, 0.0000], [0.0000, 0.0000, 0.3024], [0.0000, 0.5000, 0.8024], [0.5000, 0.0000, 0.8024], [0.5000, 0.5000, 0.3024], [0.0000, 0.0000, 0.6586], [0.0000, 0.5000, 0.1586], [0.5000, 0.0000, 0.1586], [0.5000, 0.5000, 0.6586]], "ef_ev_per_atom": -0.106}


{"formula": "Mn2Ni21P6", "functional": "GGA-PBE", "state": "relaxed", "cell": [[0.0000, 5.5156, 5.5156], [5.5156, 0.0000, 5.5156], [5.5156, 5.5156, 0.0000]], "species": ["Mn", "Mn", "Ni", "Ni", "Ni", "Ni", "Ni", "Ni", "Ni", "Ni", "Ni", "Ni", "Ni", "Ni", "Ni", "Ni", "Ni", "Ni", "Ni", "Ni", "Ni", "Ni", "Ni", "P", "P", "P", "P", "P", "P"], "fractional_positions": [[0.2500, 0.2500, 0.2500], [0.7500, 0.7500, 0.7500], [0.0000, 0.0000, 0.0000], [0.0000, 0.0000, 0.3479], [0.0000, 0.0000, 0.6521], [0.0000, 0.3479, 0.0000], [0.0000, 0.3479, 0.6521], [0.0000, 0.6521, 0.0000], [0.0000, 0.6521, 0.3479], [0.1470, 0.6177, 0.6177], [0.3479, 0.0000, 0.0000], [0.3479, 0.0000, 0.6521], [0.3479, 0.6521, 0.0000], [0.3823, 0.3823, 0.3823], [0.3823, 0.3823, 0.8530], [0.3823, 0.8530, 0.3823], [0.6177, 0.1470, 0.6177], [0.6177, 0.6177, 0.1470], [0.6177, 0.6177, 0.6177], [0.6521, 0.0000, 0.0000], [0.6521, 0.0000, 0.3479], [0.6521, 0.3479, 0.0000], [0.8530, 0.3823, 0.3823], [0.2637, 0.2637, 0.7363], [0.2637, 0.7363, 0.2637], [0.2637, 0.7363, 0.7363], [0.7363, 0.2637, 0.2637], [0.7363, 0.2637, 0.7363], [0.7363, 0.7363, 0.2637]], "ef_ev_per_atom": -0.364}


{"formula": "Mn2NiP8", "functional": "GGA-PBE", "state": "relaxed", "cell": [[4.0642, 0.0000, 0.0000], [0.5473, 6.5330, 0.0000], [0.0002, 3.2366, 6.0627]], "species": ["Mn", "Mn", "Ni", "P", "P", "P", "P", "P", "P", "P", "P"], "fractional_positions": [[0.0435, 0.2136, 0.1888], [0.9565, 0.7864, 0.8112], [0.0000, 0.5000, 0.5000], [0.1536, 0.8483, 0.4565], [0.2234, 0.4241, 0.8263], [0.3799, 0.3436, 0.3521], [0.4590, 0.8793, 0.9293], [0.5410, 0.1207, 0.0707], [0.6201, 0.6564, 0.6479], [0.7766, 0.5759, 0.1737], [0.8464, 0.1517, 0.5435]], "ef_ev_per_atom": -0.122}


Repeat the third record exactly.
{"formula": "Mn2NiP8", "functional": "GGA-PBE", "state": "relaxed", "cell": [[4.0642, 0.0000, 0.0000], [0.5473, 6.5330, 0.0000], [0.0002, 3.2366, 6.0627]], "species": ["Mn", "Mn", "Ni", "P", "P", "P", "P", "P", "P", "P", "P"], "fractional_positions": [[0.0435, 0.2136, 0.1888], [0.9565, 0.7864, 0.8112], [0.0000, 0.5000, 0.5000], [0.1536, 0.8483, 0.4565], [0.2234, 0.4241, 0.8263], [0.3799, 0.3436, 0.3521], [0.4590, 0.8793, 0.9293], [0.5410, 0.1207, 0.0707], [0.6201, 0.6564, 0.6479], [0.7766, 0.5759, 0.1737], [0.8464, 0.1517, 0.5435]], "ef_ev_per_atom": -0.122}


Please write out number 2 again, unchanged.
{"formula": "Mn2Ni21P6", "functional": "GGA-PBE", "state": "relaxed", "cell": [[0.0000, 5.5156, 5.5156], [5.5156, 0.0000, 5.5156], [5.5156, 5.5156, 0.0000]], "species": ["Mn", "Mn", "Ni", "Ni", "Ni", "Ni", "Ni", "Ni", "Ni", "Ni", "Ni", "Ni", "Ni", "Ni", "Ni", "Ni", "Ni", "Ni", "Ni", "Ni", "Ni", "Ni", "Ni", "P", "P", "P", "P", "P", "P"], "fractional_positions": [[0.2500, 0.2500, 0.2500], [0.7500, 0.7500, 0.7500], [0.0000, 0.0000, 0.0000], [0.0000, 0.0000, 0.3479], [0.0000, 0.0000, 0.6521], [0.0000, 0.3479, 0.0000], [0.0000, 0.3479, 0.6521], [0.0000, 0.6521, 0.0000], [0.0000, 0.6521, 0.3479], [0.1470, 0.6177, 0.6177], [0.3479, 0.0000, 0.0000], [0.3479, 0.0000, 0.6521], [0.3479, 0.6521, 0.0000], [0.3823, 0.3823, 0.3823], [0.3823, 0.3823, 0.8530], [0.3823, 0.8530, 0.3823], [0.6177, 0.1470, 0.6177], [0.6177, 0.6177, 0.1470], [0.6177, 0.6177, 0.6177], [0.6521, 0.0000, 0.0000], [0.6521, 0.0000, 0.3479], [0.6521, 0.3479, 0.0000], [0.8530, 0.3823, 0.3823], [0.2637, 0.2637, 0.7363], [0.2637, 0.7363, 0.2637], [0.2637, 0.7363, 0.7363], [0.7363, 0.2637, 0.2637], [0.7363, 0.2637, 0.7363], [0.7363, 0.7363, 0.2637]], "ef_ev_per_atom": -0.364}